The following is a PBE calculation of a relaxed Li3AuS crystal, from Alexandria via LeMat-Bulk.

Computed properties:
N(E_F)   0.000 states/eV/atom
Energy relative to the elements, uncorrected   -1.72 eV per formula unit
Final energy   -2.973 eV/atom
Polymorph energy (0 for the lowest one)   2.304 eV per formula unit

Unit cell a=4.7046 b=4.7046 c=4.7046 alpha=90.00 beta=90.00 gamma=90.00
Closest atoms and distances in Å follow each position.
Space group Pm-3m (No. 221)
Asymmetric unit:
Li 0.0000 0.0000 0.5000 x3  2 Au 2.35
Au 0.0000 0.0000 0.0000 x1  6 Li 2.35
S 0.5000 0.5000 0.5000 x1  12 Li 3.33

The following is a PBE calculation of a relaxed Mg3RePt crystal, from Alexandria via LeMat-Bulk.

Computed properties:
N(E_F)   0.500 states/eV/atom
Energy of formation from the pure elements   748 meV/atom
Final energy   -3.906 eV/atom
Polymorph energy (0 for the lowest one)   0.000 eV per formula unit

Unit cell a=4.8621 b=4.8621 c=4.8621 alpha=90.00 beta=90.00 gamma=90.00
Closest atoms and distances in Å follow each position.
Space group Pm-3m (No. 221)
Asymmetric unit:
Mg 0.0000 0.0000 0.5000 x3  2 Pt 2.43
Re 0.5000 0.5000 0.5000 x1  12 Mg 3.44
Pt 0.0000 0.0000 0.0000 x1  6 Mg 2.43

The following is a PBE calculation of a relaxed ZrVNi crystal, from Alexandria via LeMat-Bulk.

Computed properties:
N(E_F)   1.351 states/eV/atom
Energy of formation from the pure elements   -180 meV/atom
Final energy   -7.996 eV/atom
Polymorph energy (0 for the lowest one)   0.184 eV per formula unit

Unit cell a=3.0907 b=4.1644 c=14.7354 alpha=90.00 beta=90.00 gamma=90.00
Closest atoms and distances in Å follow each position.
Space group Immm (No. 71)
Asymmetric unit:
Zr 0.0000 0.0000 0.1732 x4  5 Ni 2.66-2.85
V 0.0000 0.5000 0.0000 x2  4 Ni 2.50, 4 V 2.59
V 0.0000 0.5000 0.5000 x2  4 V 2.59, 4 Ni 2.86
Ni 0.0000 0.0000 0.3669 x4  2 V 2.50, 4 Zr 2.66